Computed, not measured: crystalline RbHfAgTeSeS at its relaxed geometry at the PBE-GGA level of DFT.

abc: 8.849 4.073 10.149
angles: 90.00 111.85 90.00
Space group P2_1/m (No. 11)
Symmetry-distinct sites (fractional):
Rb (0.229, 0.250, 0.195) [2 per cell]
Hf (0.183, 0.750, 0.666) [2 per cell]
Ag (0.420, 0.250, 0.896) [2 per cell]
Te (0.398, 0.250, 0.620) [2 per cell]
Se (0.032, 0.750, 0.366) [2 per cell]
S (0.249, 0.750, 0.927) [2 per cell]

Results
Its crystal system is monoclinic. The raw total energy is -60.90 eV for the cell shown. The calculation puts the magnetization at 0.0 μB per formula unit.